Entry from the Alexandria database: an optimized crystal structure of SrAc3Sb4 (PBE).

abc: 8.307 8.307 4.800
angles: 90.00 90.00 109.49
Element x y z (fractional)
Sr 0.000 0.000 0.000
Ac 0.000 0.500 0.500
Ac 0.500 0.000 0.500
Ac 0.500 0.500 0.000
Sb 0.251 0.749 0.000
Sb 0.252 0.252 0.500
Sb 0.748 0.748 0.500
Sb 0.749 0.251 0.000

Computed properties:
- N(E_F) (states/eV per cell) = 6.215
- VASP energy (eV per atom) = -4.912
- crystal system = orthorhombic
- theoretical density (Mg/m³) = 6.7
- formation energy from raw total energies (meV per atom) = -1100

Entry from the Alexandria database: an optimized crystal structure of Li2Pm2Rh (PBE).

abc: 9.746 9.746 9.746
angles: 158.85 158.85 30.08
Element x y z (fractional)
Li 0.250 0.750 0.500
Li 0.750 0.250 0.500
Pm 0.088 0.088 0.000
Pm 0.912 0.912 0.000
Rh 0.500 0.500 0.000

Computed properties:
- N(E_F) (states/eV per cell) = 3.236
- VASP energy (eV per atom) = -4.307
- crystal system = tetragonal
- theoretical density (Mg/m³) = 5.6
- DFT formation energy (eV/atom) = -0.171

Entry from the Alexandria database: an optimized crystal structure of LiCd6Sn (PBE).

abc: 4.453 4.453 9.071
angles: 90.00 90.00 90.00
Element x y z (fractional)
Li 0.000 0.000 0.000
Cd 0.000 0.500 0.231
Cd 0.000 0.500 0.769
Cd 0.500 0.000 0.231
Cd 0.500 0.000 0.769
Cd 0.500 0.500 0.000
Cd 0.500 0.500 0.500
Sn 0.000 0.000 0.500

Computed properties:
- N(E_F) (states/eV per cell) = 4.068
- VASP energy (eV per atom) = -1.482
- crystal system = tetragonal
- theoretical density (Mg/m³) = 7.4
- DFT formation energy (eV/atom) = -0.056

Entry from the Alexandria database: an optimized crystal structure of Ce2TcHg (PBE).

abc: 9.834 9.834 9.834
angles: 23.14 23.14 23.14
Element x y z (fractional)
Ce 0.114 0.114 0.114
Ce 0.886 0.886 0.886
Tc 0.500 0.500 0.500
Hg 0.000 0.000 0.000

Computed properties:
- N(E_F) (states/eV per cell) = 9.018
- VASP energy (eV per atom) = -5.479
- crystal system = trigonal
- theoretical density (Mg/m³) = 7.5
- DFT formation energy (eV/atom) = 0.155

Entry from the Alexandria database: an optimized crystal structure of BaTaTe2 (PBE).

abc: 4.812 4.812 7.814
angles: 105.37 105.37 48.45
Element x y z (fractional)
Ba 0.000 0.000 0.000
Ta 0.280 0.280 0.570
Te 0.607 0.607 0.690
Te 0.783 0.783 0.313

Computed properties:
- N(E_F) (states/eV per cell) = 3.495
- VASP energy (eV per atom) = -5.447
- crystal system = monoclinic
- theoretical density (Mg/m³) = 7.4
- formation energy from raw total energies (meV per atom) = -432

Entry from the Alexandria database: an optimized crystal structure of Sr2Cr2Se (PBE).

abc: 8.363 8.363 4.763
angles: 90.00 90.00 90.00
Element x y z (fractional)
Sr 0.196 0.304 0.000
Sr 0.304 0.804 0.000
Sr 0.696 0.196 0.000
Sr 0.804 0.696 0.000
Cr 0.074 0.574 0.500
Cr 0.426 0.074 0.500
Cr 0.574 0.926 0.500
Cr 0.926 0.426 0.500
Se 0.000 0.000 0.000
Se 0.500 0.500 0.000

Computed properties:
- N(E_F) (states/eV per cell) = 2.770
- VASP energy (eV per atom) = -4.851
- crystal system = tetragonal
- theoretical density (Mg/m³) = 3.6
- formation energy from raw total energies (meV per atom) = 368